A relaxed structure of Er3Cu2Ag2. Source: Alexandria, functional PBE-GGA.

a = 4.776 Å, b = 4.790 Å, c = 8.740 Å
α = 74.76°, β = 74.76°, γ = 60.21°
Space group P-1 (No. 2)
Inequivalent atoms, fractional coordinates:
Er: 0.000 0.000 0.000
Er: 0.223 0.219 0.342
Cu: 0.102 0.110 0.681
Ag: 0.395 0.398 0.808

Properties
formation energy from the elements	-70.1	meV per atom
density	8.48	g cm⁻³

A relaxed structure of KCd2Se2. Source: Alexandria, functional PBE-GGA.

a = 8.303 Å, b = 8.303 Å, c = 3.814 Å
α = 90.00°, β = 90.00°, γ = 90.00°
Space group P4/mbm (No. 127)
Inequivalent atoms, fractional coordinates:
K: 0.000 0.000 0.000
Cd: 0.120 0.380 0.000
Se: 0.208 0.708 0.500

Properties
formation energy from raw total energies	-0.465	eV per atom
density	5.33	g cm⁻³
polymorph energy (0 for the lowest one)	83.0	meV/atom

A relaxed structure of BeRuSeBr2. Source: Alexandria, functional PBE-GGA.

a = 5.203 Å, b = 5.203 Å, c = 4.661 Å
α = 90.00°, β = 90.00°, γ = 90.00°
Space group P4/mmm (No. 123)
Inequivalent atoms, fractional coordinates:
Be: 0.000 0.000 0.000
Ru: 0.500 0.500 0.500
Se: 0.500 0.500 0.000
Br: 0.000 0.500 0.500

Properties
formation energy from raw total energies	0.662	eV per atom
density	4.59	g cm⁻³
polymorph energy (0 for the lowest one)	9.9	meV/atom

A relaxed structure of LiHoAlIn. Source: Alexandria, functional PBE-GGA.

a = 7.042 Å, b = 7.042 Å, c = 7.042 Å
α = 90.00°, β = 90.00°, γ = 90.00°
Space group F-43m (No. 216)
Inequivalent atoms, fractional coordinates:
Li: 0.000 0.000 0.000
Ho: 0.000 0.000 0.500
Al: 0.250 0.250 0.250
In: 0.250 0.250 0.750

Properties
formation energy from the elements	-290.3	meV per atom
density	5.97	g cm⁻³

A relaxed structure of CaMn2CdW. Source: Alexandria, functional PBE-GGA.

a = 4.372 Å, b = 4.372 Å, c = 4.787 Å
α = 90.00°, β = 90.00°, γ = 90.00°
Space group P4/mmm (No. 123)
Inequivalent atoms, fractional coordinates:
Ca: 0.000 0.000 0.000
Mn: 0.000 0.500 0.000
Cd: 0.500 0.500 0.500
W: 0.000 0.000 0.500

Properties
formation energy from the elements	2614.9	meV per atom
density	8.10	g cm⁻³